Co2BiAu2 | PBEsol | relaxed

Properties
Formation energy from the elements = 1.79 eV per formula unit
Energy = -5.16 eV/atom
SG = I4/mmm, No. 139

a = 3.327 Å, b = 3.327 Å, c = 8.346 Å
α = 101.50°, β = 101.50°, γ = 90.00°
Site moments in Bohr magnetons follow the coordinates.
Fractional positions:
Co 0.750 0.250 0.500  1.85
Au 0.376 0.376 0.753  0.04
Au 0.624 0.624 0.247  0.04
Co 0.250 0.750 0.500  1.85
Bi 0.000 0.000 0.000  -0.04